This record from Alexandria describes Er3B7Mo after structural relaxation. The functional is GGA-PBE.

a = 8.1157 Å, b = 8.1157 Å, c = 9.4259 Å
α = 90.00°, β = 90.00°, γ = 155.46°
Closest atoms and distances in Å follow each position.
Fractional coordinates of all 22 atoms:
Er  0.1068  0.8932  0.5597  11 B 2.63-2.72
Er  0.1068  0.8932  0.9403  11 B 2.63-2.72
Er  0.2436  0.7564  0.2500  10 B 2.62-2.71
Er  0.7564  0.2436  0.7500  10 B 2.62-2.71
Er  0.8932  0.1068  0.0597  11 B 2.63-2.72
Er  0.8932  0.1068  0.4403  11 B 2.63-2.72
B  0.2723  0.7277  0.5330  3 B 1.82-1.97
B  0.2723  0.7277  0.9670  3 B 1.82-1.97
B  0.3649  0.6351  0.6471  3 B 1.82-1.94
B  0.3649  0.6351  0.8529  3 B 1.82-1.94
B  0.4546  0.5454  0.2500  2 B 1.81
B  0.4808  0.5192  0.5915  3 B 1.81-1.91
B  0.4808  0.5192  0.9085  3 B 1.81-1.91
B  0.5192  0.4808  0.0915  3 B 1.81-1.91
B  0.5192  0.4808  0.4085  3 B 1.81-1.91
B  0.5454  0.4546  0.7500  2 B 1.81
B  0.6351  0.3649  0.1471  3 B 1.82-1.94
B  0.6351  0.3649  0.3529  3 B 1.82-1.94
B  0.7277  0.2723  0.0330  3 B 1.82-1.97
B  0.7277  0.2723  0.4670  3 B 1.82-1.97
Mo  0.0532  0.9468  0.2500  10 B 2.33-2.37
Mo  0.9468  0.0532  0.7500  10 B 2.33-2.37

Symmetry: No. 63
Energy of formation, meV per atom: -631
Calculated total energy, eV per atom: -7.11